# NiAu8

Crystalline NiAu8 at its relaxed geometry (PBE-GGA, OQMD).

Cell lengths 6.4970, 6.4970, 6.4970 Å; angles 95.74, 95.74, 143.12 degrees
Closest atoms and distances in Å follow each position.
Sites, in units of the cell vectors:
Au1 0.6620 0.6620 0.3240  10 Au 2.82-2.99, 2 Ni 2.87
Au2 0.3380 0.6620 0.0000  10 Au 2.82-2.99, 2 Ni 2.87
Au3 0.0000 0.3283 0.3283  1 Ni 2.86, 11 Au 2.88-2.99
Au4 0.0000 0.6717 0.6717  1 Ni 2.86, 11 Au 2.88-2.99
Au5 0.3380 0.3380 0.6760  10 Au 2.82-2.99, 2 Ni 2.87
Au6 0.6620 0.3380 0.0000  10 Au 2.82-2.99, 2 Ni 2.87
Au7 0.6717 0.0000 0.6717  1 Ni 2.86, 11 Au 2.88-2.99
Au8 0.3283 0.0000 0.3283  1 Ni 2.86, 11 Au 2.88-2.99
Ni1 0.0000 0.0000 0.0000  12 Au 2.86-2.87

Summary:
The symmetry is I4/mmm, No. 139. The energy of formation is 0.029 eV per atom. As for the raw total energy: -31.44 eV per cell. As for the crystal system: tetragonal.